Entry A
This record from the Alexandria database describes a relaxed structure of TlCdTc2. The functional is PBE.

Cell lengths 3.141, 4.839, 9.509 Å; angles 90.00, 90.00, 90.00 degrees
Space group Cmmm (No. 65)
Symmetry-distinct sites (fractional):
Tl  0.000  0.000  0.000
Cd  0.000  0.000  0.500
Tc  0.000  0.500  0.250

***

Entry B
This record from the Alexandria database describes a relaxed structure of TlCdTc2. The functional is PBE.

Cell lengths 3.156, 4.752, 4.807 Å; angles 90.00, 90.00, 90.00 degrees
Space group Pmmm (No. 47)
Symmetry-distinct sites (fractional):
Tl  0.000  0.000  0.000
Cd  0.500  0.000  0.500
Tc  0.000  0.500  0.500
Tc  0.500  0.500  0.000

***

Entry C
This record from the Alexandria database describes a relaxed structure of TlCdTc2. The functional is PBE.

Cell lengths 2.977, 4.877, 10.435 Å; angles 90.00, 90.00, 90.00 degrees
Space group Imm2 (No. 44)
Symmetry-distinct sites (fractional):
Tl  0.000  0.000  0.000
Cd  0.000  0.500  0.789
Tc  0.000  0.000  0.555
Tc  0.000  0.500  0.243

***

Entry D
This record from the Alexandria database describes a relaxed structure of TlCdTc2. The functional is PBE.

Cell lengths 4.159, 4.159, 4.211 Å; angles 90.00, 90.00, 90.00 degrees
Space group P4/mmm (No. 123)
Symmetry-distinct sites (fractional):
Tl  0.000  0.000  0.000
Cd  0.500  0.500  0.000
Tc  0.000  0.500  0.500

***

If we sort the structures by their calculated energies, the order from most to least stable is entry C, entry B, entry D, entry A.

***

Entry A
This record from the Alexandria database describes a relaxed structure of TlCd2Tc. The functional is PBE.

Cell lengths 3.1043, 3.1043, 30.2625 Å; angles 90.00, 90.00, 120.00 degrees
Space group R3m (No. 160, hexagonal axes)
Symmetry-distinct sites (fractional):
Tl  0.0000  0.0000  0.0000
Cd  0.0000  0.0000  0.2385
Cd  0.0000  0.0000  0.4840
Tc  0.0000  0.0000  0.7432

***

Entry B
This record from the Alexandria database describes a relaxed structure of TlCd2Tc. The functional is PBE.

Cell lengths 7.007, 7.007, 7.007 Å; angles 90.00, 90.00, 90.00 degrees
Space group Fm-3m (No. 225)
Symmetry-distinct sites (fractional):
Tl  0.000  0.000  0.000
Cd  0.250  0.250  0.250
Tc  0.000  0.000  0.500

***

If we sort the structures by their calculated energies, the order from most to least stable is entry A, entry B.

***

Entry A
This record from the Alexandria database describes a relaxed structure of TlCd2Tc. The functional is PBE.

Cell lengths 3.064, 3.064, 9.081 Å; angles 90.00, 90.00, 90.00 degrees
Space group P4mm (No. 99)
Symmetry-distinct sites (fractional):
Tl  0.000  0.000  0.000
Cd  0.000  0.000  0.558
Cd  0.500  0.500  0.298
Tc  0.500  0.500  0.773

***

Entry B
This record from the Alexandria database describes a relaxed structure of TlCd2Tc. The functional is PBE.

Cell lengths 4.086, 4.086, 9.664 Å; angles 90.00, 90.00, 90.00 degrees
Space group I4/mmm (No. 139)
Symmetry-distinct sites (fractional):
Tl  0.000  0.000  0.000
Cd  0.000  0.500  0.250
Tc  0.000  0.000  0.500

***

If we sort the structures by their calculated energies, the order from most to least stable is entry B, entry A.

***

Entry A
This record from the Alexandria database describes a relaxed structure of TlCd2Tc. The functional is PBE.

Cell lengths 2.902, 5.431, 5.163 Å; angles 90.00, 91.22, 90.00 degrees
Space group P2/m (No. 10)
Symmetry-distinct sites (fractional):
Tl  0.000  0.000  0.000
Cd  0.251  0.500  0.741
Tc  0.500  0.000  0.500

***

Entry B
This record from the Alexandria database describes a relaxed structure of TlCd2Tc. The functional is PBE.

Cell lengths 3.1366, 3.1366, 29.7857 Å; angles 90.00, 90.00, 120.00 degrees
Space group R-3m (No. 166, hexagonal axes)
Symmetry-distinct sites (fractional):
Tl  0.0000  0.0000  0.0000
Cd  0.0000  0.0000  0.2415
Tc  0.0000  0.0000  0.5000

***

If we sort the structures by their calculated energies, the order from most to least stable is entry B, entry A.

***

Entry A
This record from the Alexandria database describes a relaxed structure of TlCd2Tc. The functional is PBE.

Cell lengths 2.945, 5.028, 5.468 Å; angles 90.00, 90.04, 90.00 degrees
Space group Pm (No. 6)
Symmetry-distinct sites (fractional):
Tl  0.000  0.000  0.000
Cd  0.499  0.000  0.524
Cd  0.502  0.500  0.215
Tc  0.000  0.500  0.698

***

Entry B
This record from the Alexandria database describes a relaxed structure of TlCd2Tc. The functional is PBE.

Cell lengths 4.234, 4.234, 4.461 Å; angles 90.00, 90.00, 90.00 degrees
Space group P4/mmm (No. 123)
Symmetry-distinct sites (fractional):
Tl  0.000  0.000  0.000
Cd  0.000  0.500  0.500
Tc  0.500  0.500  0.000

***

Entry C
This record from the Alexandria database describes a relaxed structure of TlCd2Tc. The functional is PBE.

Cell lengths 5.799, 8.903, 3.168 Å; angles 90.00, 90.95, 90.00 degrees
Space group C2/m (No. 12)
Symmetry-distinct sites (fractional):
Tl  0.000  0.000  0.000
Cd  0.250  0.250  0.500
Tc  0.000  0.500  0.000

***

If we sort the structures by their calculated energies, the order from most to least stable is entry B, entry C, entry A.

***

Entry A
This record from the Alexandria database describes a relaxed structure of TlCd2Tc. The functional is PBE.

Cell lengths 3.054, 3.054, 9.420 Å; angles 90.00, 90.00, 90.00 degrees
Space group P4/mmm (No. 123)
Symmetry-distinct sites (fractional):
Tl  0.000  0.000  0.000
Cd  0.500  0.500  0.296
Tc  0.000  0.000  0.500

***

Entry B
This record from the Alexandria database describes a relaxed structure of TlCd2Tc. The functional is PBE.

Cell lengths 3.629, 3.629, 6.192 Å; angles 90.00, 90.00, 90.00 degrees
Space group P4mm (No. 99)
Symmetry-distinct sites (fractional):
Tl  0.000  0.000  0.000
Cd  0.000  0.000  0.537
Cd  0.500  0.500  0.290
Tc  0.500  0.500  0.779

***

Entry C
This record from the Alexandria database describes a relaxed structure of TlCd2Tc. The functional is PBE.

Cell lengths 2.955, 4.750, 12.871 Å; angles 90.00, 90.00, 90.00 degrees
Space group Immm (No. 71)
Symmetry-distinct sites (fractional):
Tl  0.000  0.000  0.000
Cd  0.000  0.500  0.191
Tc  0.000  0.000  0.500

***

If we sort the structures by their calculated energies, the order from most to least stable is entry C, entry A, entry B.

***

Entry A
This record from the Alexandria database describes a relaxed structure of TlCd2Tc. The functional is PBE.

Cell lengths 3.223, 4.260, 6.021 Å; angles 90.00, 90.00, 90.00 degrees
Space group Pmmm (No. 47)
Symmetry-distinct sites (fractional):
Tl  0.000  0.000  0.000
Cd  0.500  0.500  0.273
Tc  0.000  0.000  0.500

***

Entry B
This record from the Alexandria database describes a relaxed structure of TlCd2Tc. The functional is PBE.

Cell lengths 3.117, 5.304, 10.294 Å; angles 90.00, 90.00, 90.00 degrees
Space group Cmm2 (No. 35)
Symmetry-distinct sites (fractional):
Tl  0.000  0.000  0.000
Cd  0.000  0.000  0.540
Cd  0.000  0.500  0.282
Tc  0.000  0.500  0.766

***

If we sort the structures by their calculated energies, the order from most to least stable is entry A, entry B.

***

Entry A
This record from the Alexandria database describes a relaxed structure of TlCdTc. The functional is PBE.

Cell lengths 6.569, 6.569, 6.569 Å; angles 90.00, 90.00, 90.00 degrees
Space group F-43m (No. 216)
Symmetry-distinct sites (fractional):
Tl  0.000  0.000  0.000
Cd  0.000  0.000  0.500
Tc  0.250  0.250  0.750

***

Entry B
This record from the Alexandria database describes a relaxed structure of TlCdTc. The functional is PBE.

Cell lengths 2.921, 4.233, 9.592 Å; angles 90.00, 90.00, 90.00 degrees
Space group Imm2 (No. 44)
Symmetry-distinct sites (fractional):
Tl  0.000  0.000  0.000
Cd  0.000  0.000  0.686
Tc  0.000  0.000  0.336

***

If we sort the structures by their calculated energies, the order from most to least stable is entry B, entry A.

***

Entry A
This record from the Alexandria database describes a relaxed structure of Tm6Cd2Tc. The functional is PBE.

Cell lengths 8.3221, 8.3221, 3.9720 Å; angles 90.00, 90.00, 120.00 degrees
Space group P-62m (No. 189)
Symmetry-distinct sites (fractional):
Tm  0.0000  0.3899  0.0000
Tm  0.0000  0.7587  0.5000
Cd  0.3333  0.6667  0.5000
Tc  0.0000  0.0000  0.0000

***

Entry B
This record from the Alexandria database describes a relaxed structure of Tm6Cd2Tc. The functional is PBE.

Cell lengths 5.060, 7.072, 14.650 Å; angles 90.00, 90.00, 90.00 degrees
Space group Immm (No. 71)
Symmetry-distinct sites (fractional):
Tm  0.000  0.227  0.000
Tm  0.000  0.258  0.345
Cd  0.000  0.500  0.166
Tc  0.000  0.500  0.500

***

If we sort the structures by their calculated energies, the order from most to least stable is entry A, entry B.

***

Entry A
This record from the Alexandria database describes a relaxed structure of Tm3CdTc. The functional is PBE.

Cell lengths 11.033, 5.006, 8.920 Å; angles 90.00, 102.06, 90.00 degrees
Space group C2/m (No. 12)
Symmetry-distinct sites (fractional):
Tm  0.070  0.000  0.338
Tm  0.081  0.500  0.867
Tm  0.242  0.500  0.220
Cd  0.139  0.500  0.543
Tc  0.113  0.000  0.032

***

Entry B
This record from the Alexandria database describes a relaxed structure of Tm3CdTc. The functional is PBE.

Cell lengths 16.721, 3.474, 10.833 Å; angles 90.00, 125.68, 90.00 degrees
Space group C2/m (No. 12)
Symmetry-distinct sites (fractional):
Tm  0.075  0.000  0.443
Tm  0.122  0.500  0.200
Tm  0.183  0.500  0.795
Cd  0.082  0.000  0.916
Tc  0.235  0.500  0.576

***

If we sort the structures by their calculated energies, the order from most to least stable is entry A, entry B.

***

Entry A
This record from the Alexandria database describes a relaxed structure of VCd2Tc. The functional is PBE.

Cell lengths 7.609, 7.609, 5.347 Å; angles 90.00, 90.00, 90.00 degrees
Space group I-42d (No. 122)
Symmetry-distinct sites (fractional):
V  0.000  0.000  0.000
Cd  0.246  0.750  0.625
Tc  0.000  0.000  0.500

***

Entry B
This record from the Alexandria database describes a relaxed structure of VCd2Tc. The functional is PBE.

Cell lengths 6.574, 6.574, 6.574 Å; angles 90.00, 90.00, 90.00 degrees
Space group Fm-3m (No. 225)
Symmetry-distinct sites (fractional):
V  0.000  0.000  0.000
Cd  0.250  0.250  0.250
Tc  0.000  0.000  0.500

***

If we sort the structures by their calculated energies, the order from most to least stable is entry B, entry A.

***

Entry A
This record from the Alexandria database describes a relaxed structure of CdTcW. The functional is PBE.

Cell lengths 3.169, 3.169, 10.368 Å; angles 90.00, 90.00, 90.00 degrees
Space group I4mm (No. 107)
Symmetry-distinct sites (fractional):
Cd  0.000  0.000  0.000
Tc  0.000  0.000  0.314
W  0.000  0.000  0.691

***

Entry B
This record from the Alexandria database describes a relaxed structure of CdTcW. The functional is PBE.

Cell lengths 2.814, 4.111, 8.596 Å; angles 90.00, 90.00, 90.00 degrees
Space group Imm2 (No. 44)
Symmetry-distinct sites (fractional):
Cd  0.000  0.000  0.000
Tc  0.000  0.000  0.672
W  0.000  0.000  0.325

***

Entry C
This record from the Alexandria database describes a relaxed structure of CdTcW. The functional is PBE.

Cell lengths 2.9110, 2.9110, 7.0188 Å; angles 90.00, 90.00, 120.00 degrees
Space group P3m1 (No. 156)
Symmetry-distinct sites (fractional):
Cd  0.0000  0.0000  0.0000
Tc  0.3333  0.6667  0.3528
W  0.6667  0.3333  0.6350

***

Entry D
This record from the Alexandria database describes a relaxed structure of CdTcW. The functional is PBE.

Cell lengths 3.124, 4.616, 14.276 Å; angles 90.00, 90.00, 90.00 degrees
Space group Fmm2 (No. 42)
Symmetry-distinct sites (fractional):
Cd  0.000  0.000  0.000
Tc  0.000  0.000  0.676
W  0.000  0.000  0.320

***

If we sort the structures by their calculated energies, the order from most to least stable is entry A, entry C, entry D, entry B.